[1]
An optimized crystal structure of Tm6MgIn, computed with GGA-PBE.

Unit cell a=4.815 b=4.815 c=9.641 alpha=90.00 beta=90.00 gamma=90.00
Atoms (fractional coordinates):
Tm 0.000 0.000 0.000
Tm 0.000 0.000 0.500
Tm 0.000 0.500 0.248
Tm 0.000 0.500 0.752
Tm 0.500 0.000 0.248
Tm 0.500 0.000 0.752
Mg 0.500 0.500 0.500
In 0.500 0.500 0.000

Values from the calculation:
The formation energy is -0.92 eV/f.u. As for the space group: No. 123. For the excess energy over the best structure of this formula in the dataset, the calculation gives 0.000 eV per formula unit.

=====

[2]
An optimized crystal structure of ZnTcO2, computed with GGA-PBE.

Unit cell a=7.184 b=7.184 c=7.184 alpha=22.07 beta=22.07 gamma=22.07
Atoms (fractional coordinates):
Zn 0.000 0.000 0.000
Tc 0.500 0.500 0.500
O 0.103 0.103 0.103
O 0.897 0.897 0.897

Values from the calculation:
As for the space group: No. 166. The value obtained for the formation energy without anion corrections is -0.9192 eV per atom.

=====

[3]
An optimized crystal structure of Tb6NdSm4, computed with GGA-PBE.

Unit cell a=9.780 b=9.780 c=9.780 alpha=140.29 beta=140.29 gamma=57.41
Atoms (fractional coordinates):
Tb 0.000 0.500 0.500
Tb 0.051 0.694 0.000
Tb 0.306 0.306 0.357
Tb 0.500 0.000 0.500
Tb 0.694 0.051 0.000
Tb 0.949 0.949 0.643
Nd 0.500 0.500 0.000
Sm 0.135 0.135 0.622
Sm 0.487 0.865 0.000
Sm 0.513 0.513 0.378
Sm 0.865 0.487 0.000

Values from the calculation:
The formation energy is 3.40 eV/f.u. As for the space group: No. 121. For the excess energy over the best structure of this formula in the dataset, the calculation gives 0.000 eV per formula unit.

=====

[4]
An optimized crystal structure of Si2Tc, computed with GGA-PBE.

Unit cell a=9.791 b=9.791 c=9.791 alpha=162.23 beta=162.23 gamma=25.24
Atoms (fractional coordinates):
Si 0.304 0.554 0.750
Si 0.446 0.696 0.750
Si 0.554 0.304 0.250
Si 0.696 0.446 0.250
Tc 0.125 0.875 0.250
Tc 0.875 0.125 0.750

Values from the calculation:
As for the space group: No. 141. For the excess energy over the best structure of this formula in the dataset, the calculation gives 0.787 eV per formula unit. The value obtained for the formation energy without anion corrections is -0.1305 eV per atom.

=====

[5]
An optimized crystal structure of LiNdInPb, computed with GGA-PBE.

Unit cell a=5.316 b=5.316 c=5.316 alpha=60.00 beta=60.00 gamma=60.00
Atoms (fractional coordinates):
Li 0.000 0.000 0.000
Nd 0.500 0.500 0.500
In 0.750 0.750 0.750
Pb 0.250 0.250 0.250

Values from the calculation:
The formation energy is -1.41 eV/f.u. As for the space group: No. 216. For the excess energy over the best structure of this formula in the dataset, the calculation gives 0.318 eV per formula unit.

=====

[6]
An optimized crystal structure of Al6Zn2Ga3, computed with GGA-PBE.

Unit cell a=25.578 b=25.578 c=25.578 alpha=6.48 beta=6.48 gamma=6.48
Atoms (fractional coordinates):
Al 0.094 0.094 0.094
Al 0.182 0.182 0.182
Al 0.365 0.365 0.365
Al 0.635 0.635 0.635
Al 0.818 0.818 0.818
Al 0.906 0.906 0.906
Zn 0.456 0.456 0.456
Zn 0.544 0.544 0.544
Ga 0.000 0.000 0.000
Ga 0.270 0.270 0.270
Ga 0.730 0.730 0.730

Values from the calculation:
The formation energy is 0.26 eV/f.u. As for the space group: No. 166.

=====

[7]
An optimized crystal structure of Ho2PuTe, computed with GGA-PBE.

Unit cell a=10.886 b=10.886 c=10.886 alpha=19.86 beta=19.86 gamma=19.86
Atoms (fractional coordinates):
Ho 0.101 0.101 0.101
Ho 0.899 0.899 0.899
Pu 0.000 0.000 0.000
Te 0.500 0.500 0.500

Values from the calculation:
As for the space group: No. 166. For the excess energy over the best structure of this formula in the dataset, the calculation gives 1.387 eV per formula unit. The value obtained for the formation energy without anion corrections is -0.1054 eV per atom.

=====

[8]
An optimized crystal structure of Y2TcH, computed with GGA-PBE.

Unit cell a=5.851 b=5.851 c=5.851 alpha=111.41 beta=111.41 gamma=105.67
Atoms (fractional coordinates):
Y 0.051 0.125 0.426
Y 0.375 0.949 0.074
Y 0.699 0.625 0.574
Y 0.875 0.301 0.926
Tc 0.250 0.750 0.500
Tc 0.500 0.500 0.000
H 0.000 0.000 0.000
H 0.750 0.250 0.500

Values from the calculation:
As for the space group: No. 122. For the excess energy over the best structure of this formula in the dataset, the calculation gives 0.000 eV per formula unit.

=====

[9]
An optimized crystal structure of Cs2In17Hg3, computed with GGA-PBE.

Unit cell a=8.946 b=8.946 c=8.946 alpha=82.33 beta=82.33 gamma=82.33
Atoms (fractional coordinates):
Cs 0.144 0.144 0.144
Cs 0.856 0.856 0.856
In 0.000 0.500 0.500
In 0.172 0.172 0.672
In 0.172 0.672 0.172
In 0.247 0.500 0.753
In 0.247 0.753 0.500
In 0.328 0.828 0.828
In 0.385 0.385 0.385
In 0.500 0.000 0.500
In 0.500 0.247 0.753
In 0.500 0.500 0.000
In 0.500 0.753 0.247
In 0.615 0.615 0.615
In 0.672 0.172 0.172
In 0.753 0.247 0.500
In 0.753 0.500 0.247
In 0.828 0.328 0.828
In 0.828 0.828 0.328
Hg 0.000 0.000 0.500
Hg 0.000 0.500 0.000
Hg 0.500 0.000 0.000

Values from the calculation:
The formation energy is -0.02 eV/f.u. As for the space group: No. 166.

=====

[10]
An optimized crystal structure of TlSiNi2, computed with GGA-PBE.

Unit cell a=2.938 b=2.938 c=6.720 alpha=90.00 beta=90.00 gamma=90.00
Atoms (fractional coordinates):
Tl 0.000 0.000 0.000
Si 0.000 0.000 0.500
Ni 0.500 0.500 0.316
Ni 0.500 0.500 0.684

Values from the calculation:
As for the space group: No. 123. For the excess energy over the best structure of this formula in the dataset, the calculation gives 0.077 eV per formula unit. The value obtained for the formation energy without anion corrections is -0.0461 eV per atom.

=====

[11]
An optimized crystal structure of Li2LaMg3, computed with GGA-PBE.

Unit cell a=5.027 b=5.027 c=13.853 alpha=90.00 beta=90.00 gamma=120.00
Atoms (fractional coordinates):
Li 0.333 0.667 0.087
Li 0.333 0.667 0.413
Li 0.667 0.333 0.587
Li 0.667 0.333 0.913
La 0.000 0.000 0.250
La 0.000 0.000 0.750
Mg 0.000 0.000 0.000
Mg 0.000 0.000 0.500
Mg 0.333 0.667 0.623
Mg 0.333 0.667 0.877
Mg 0.667 0.333 0.123
Mg 0.667 0.333 0.377

Values from the calculation:
The formation energy is -0.07 eV/f.u. As for the space group: No. 194. For the excess energy over the best structure of this formula in the dataset, the calculation gives 0.274 eV per formula unit.

=====

[12]
An optimized crystal structure of LiIn4Ag3, computed with GGA-PBE.

Unit cell a=8.692 b=8.692 c=4.548 alpha=104.50 beta=104.50 gamma=30.33
Atoms (fractional coordinates):
Li 0.000 0.000 0.000
In 0.125 0.125 0.625
In 0.375 0.375 0.876
In 0.625 0.625 0.124
In 0.875 0.875 0.375
Ag 0.245 0.245 0.246
Ag 0.500 0.500 0.500
Ag 0.755 0.755 0.754

Values from the calculation:
The formation energy is -0.57 eV/f.u. As for the space group: No. 12.

=====

no.,E_tot (eV for the cell shown)
1,-32.1
2,-25.2
3,-48.0
4,-43.2
5,-14.5
6,-33.8
7,-27.1
8,-52.4
9,-49.2
10,-19.5
11,-27.2
12,-22.0